ScPa2Ge3Ir4 | GGA-PBE | optimized geometry

Output
Density of states at the Fermi level in states/eV/atom: 0.611
Total DFT energy (no corrections) in eV/atom: -8.21

Unit cell a=4.0472 b=4.0472 c=11.3159 alpha=90.00 beta=90.00 gamma=90.00
Space group P-4m2 (No. 115)
One atom of each set of equivalent atoms:
Sc 0.0000 0.0000 0.0000 x1
Pa 0.0000 0.5000 0.7309 x2
Ge 0.0000 0.5000 0.3732 x2
Ge 0.5000 0.5000 0.0000 x1
Ir 0.0000 0.0000 0.5000 x1
Ir 0.0000 0.5000 0.1577 x2
Ir 0.5000 0.5000 0.5000 x1